# VGaNi3 (PBE-GGA, relaxed)
# energy relative to the lowest polymorph listed for this composition	4.16	eV/f.u.
# mass density	6.3	g/cm³
# formation energy from the elements	3.9	eV/f.u.
# total moment	3.5	μB/cell
data_VGaNi3
_chemical_formula_sum 'V1 Ga1 Ni3'
_space_group_name_H-M_alt 'P m -3 m'
_space_group_IT_number 221
_space_group_name_Hall '-P 4 2 3'
_cell_length_a 4.281
_cell_length_b 4.281
_cell_length_c 4.281
_cell_angle_alpha 90.00
_cell_angle_beta 90.00
_cell_angle_gamma 90.00
loop_
_atom_site_label
_atom_site_fract_x
_atom_site_fract_y
_atom_site_fract_z
V1 0.000 0.000 0.000
Ga1 0.500 0.500 0.500
Ni1 0.000 0.500 0.500